1.
The following is a PBE calculation of crystalline I2Br3Cl5 at its relaxed geometry, from Alexandria via LeMat-Bulk.

abc: 11.1550 9.0501 11.6384
angles: 49.79 79.84 80.31
Closest atoms and distances in Å follow each position.
Element x y z (fractional)
Br (0.3477, 0.4714, 0.8556)  1 Cl 2.56
Cl (0.9380, 0.4163, 0.8911)  1 I 2.40
Br (0.2689, 0.9437, 0.0168)  1 I 2.62
I (0.1285, 0.8935, 0.8877)  2 Cl 2.40-2.61, 1 Br 2.62
Cl (0.4916, 0.6896, 0.8246)  1 I 2.53, 1 Br 2.56
Cl (0.0620, 0.5837, 0.1089)  1 I 2.40
Br (0.8602, 0.7520, 0.4333)  1 Cl 2.22
Cl (0.6335, 0.1577, 0.5688)  1 I 2.43
Br (0.7311, 0.0563, 0.9832)  1 I 2.62
I (0.8715, 0.1065, 0.1123)  2 Cl 2.40-2.61, 1 Br 2.62
Cl (0.9885, 0.0675, 0.3065)  1 I 2.61, 1 Br 2.75
I (0.3597, 0.1338, 0.1690)  2 Cl 2.43-2.53
Cl (0.7539, 0.5163, 0.5015)  1 Br 2.22
I (0.6403, 0.8662, 0.8310)  2 Cl 2.43-2.53
Cl (0.0115, 0.9325, 0.6935)  1 I 2.61, 1 Br 2.75
Br (0.1398, 0.2480, 0.5667)  1 Cl 2.22
Br (0.6523, 0.5286, 0.1444)  1 Cl 2.56
Cl (0.2461, 0.4837, 0.4985)  1 Br 2.22
Cl (0.5084, 0.3104, 0.1754)  1 I 2.53, 1 Br 2.56
Cl (0.3665, 0.8423, 0.4312)  1 I 2.43

M_tot = 0.000 μB per atom
E_form (uncorrected) = -0.054 eV per atom



2.
The following is a PBE calculation of crystalline Mn3Se at its relaxed geometry, from Alexandria via LeMat-Bulk.

abc: 4.0509 4.0509 2.9662
angles: 90.00 90.00 90.00
Closest atoms and distances in Å follow each position.
Element x y z (fractional)
Se (0.0000, 0.5000, 0.5000)  8 Mn 2.51
Mn (0.0000, 0.0000, 0.0000)  4 Mn 2.51, 4 Se 2.51
Mn (0.5000, 0.0000, 0.5000)  8 Mn 2.51
Mn (0.5000, 0.5000, 0.0000)  4 Mn 2.51, 4 Se 2.51

M_tot = 0.577 μB per atom
E_form (uncorrected) = 0.210 eV per atom
energy above the most stable polymorph in this dataset = 0.43 eV/f.u.



3.
The following is a PBE calculation of crystalline YHo5Ru4 at its relaxed geometry, from Alexandria via LeMat-Bulk.

abc: 4.8487 6.6979 7.5317
angles: 90.43 108.78 90.00
Closest atoms and distances in Å follow each position.
Element x y z (fractional)
Ru (0.3342, 0.2521, 0.6683)  7 Ho 2.88-2.96, 1 Y 2.92
Ho (0.5000, 0.5000, 0.0000)  6 Ru 2.88-2.94
Ho (0.1671, 0.9954, 0.3342)  5 Ru 2.88-2.96
Ho (0.1664, 0.4950, 0.3329)  5 Ru 2.88-2.96
Ru (0.6658, 0.7479, 0.3317)  7 Ho 2.88-2.96, 1 Y 2.92
Ru (0.0011, 0.7480, 0.0023)  6 Ho 2.88-2.96, 2 Y 2.95
Ho (0.8336, 0.5050, 0.6671)  5 Ru 2.88-2.96
Ho (0.8329, 0.0046, 0.6658)  5 Ru 2.88-2.96
Ru (0.9989, 0.2520, 0.9977)  6 Ho 2.88-2.96, 2 Y 2.95
Y (0.5000, 0.0000, 0.0000)  6 Ru 2.92-2.95

M_tot = 0.000 μB per atom
energy of formation = -0.29 eV per atom



4.
The following is a PBE calculation of crystalline CdCuRh at its relaxed geometry, from Alexandria via LeMat-Bulk.

abc: 7.0571 6.8330 2.7767
angles: 83.04 73.97 22.99
Closest atoms and distances in Å follow each position.
Element x y z (fractional)
Rh (0.3265, 0.3265, 0.6735)  2 Cu 2.55, 4 Rh 2.78, 2 Cd 2.78
Cd (0.0012, 0.0012, 0.9988)  2 Cu 2.74, 6 Cd 2.78-3.03, 2 Rh 2.78
Cu (0.6722, 0.6722, 0.3278)  2 Rh 2.55, 2 Cd 2.74, 4 Cu 2.78

M_tot = 0.001 μB per atom
energy above the most stable polymorph in this dataset = 0.44 eV/f.u.
energy of formation = 0.17 eV per atom